(1)
## KAg2Br4 (GGA-PBE)

Data for a relaxed structure of KAg2Br4.

Properties
ΔE_f (raw) in kJ/mol of atoms: -64.4
Spin magnetization in μB per atom: 0.00
Energy above the most stable polymorph in this dataset in eV/atom: 0.000

abc: 7.5298 7.5268 9.9851
angles: 119.87 104.35 90.28
Atoms (fractional coordinates):
K  0.1539  0.6568  0.4991
K  0.0963  0.0934  0.0009
Ag  0.6252  0.3755  0.7506
Ag  0.6250  0.8747  0.2494
Ag  0.6252  0.3747  0.2501
Ag  0.1246  0.3751  0.7499
Br  0.8889  0.1507  0.2740
Br  0.3618  0.5990  0.2263
Br  0.8771  0.6160  0.7284
Br  0.8517  0.0833  0.6715
Br  0.4136  0.1811  0.3313
Br  0.3723  0.1344  0.7714
Br  0.3979  0.6672  0.8289
Br  0.8364  0.5680  0.1683

***

(2)
## Sc2CuF (GGA-PBE)

Data for a relaxed structure of Sc2CuF.

Properties
ΔE_f (raw) in kJ/mol of atoms: -73.3
Spin magnetization in μB per atom: 0.00
Energy above the most stable polymorph in this dataset in eV/atom: 0.430

abc: 4.5564 4.5564 4.5564
angles: 60.00 60.00 60.00
Atoms (fractional coordinates):
Sc  0.2500  0.2500  0.2500
Sc  0.7500  0.7500  0.7500
Cu  0.5000  0.5000  0.5000
F  0.0000  0.0000  0.0000

***

(3)
## TiMnNi14 (GGA-PBE)

Data for a relaxed structure of TiMnNi14.

Properties
Spin magnetization in μB per atom: 0.61
ΔE_f in kJ/mol of formula units: -179

abc: 5.0300 5.0300 7.0956
angles: 90.00 90.00 90.00
Last column: magnetic moment on the atom in μB.
Atoms (fractional coordinates):
Ti  0.8750  0.8750  0.5000  -0.32
Mn  0.3750  0.3750  0.5000  3.17
Ni  0.8750  0.8750  0.0000  0.54
Ni  0.3750  0.3750  0.0000  0.69
Ni  0.8750  0.3750  0.5000  0.39
Ni  0.8750  0.3750  0.0000  0.63
Ni  0.3750  0.8750  0.5000  0.39
Ni  0.3750  0.8750  0.0000  0.63
Ni  0.6240  0.1260  0.2457  0.50
Ni  0.6240  0.1260  0.7543  0.50
Ni  0.1260  0.6240  0.2457  0.50
Ni  0.1260  0.6240  0.7543  0.50
Ni  0.6240  0.6240  0.2457  0.50
Ni  0.6240  0.6240  0.7543  0.50
Ni  0.1260  0.1260  0.2457  0.50
Ni  0.1260  0.1260  0.7543  0.50

***

(4)
## NdGdGePt (GGA-PBE)

Data for a relaxed structure of NdGdGePt.

Properties
Spin magnetization in μB per atom: 1.78
ΔE_f in kJ/mol of formula units: -336

abc: 5.1152 5.1152 5.1152
angles: 60.00 60.00 60.00
Last column: magnetic moment on the atom in μB.
Atoms (fractional coordinates):
Ge  0.2500  0.2500  0.2500  -0.04
Gd  0.0000  0.0000  0.0000  7.03
Nd  0.5000  0.5000  0.5000  0.04
Pt  0.7500  0.7500  0.7500  -0.03